# 1
This record from the Alexandria database describes a relaxed structure of Sm2YSn. The functional is GGA-PBE.

abc: 5.684 7.047 6.724
angles: 90.00 90.00 113.79
Site moments in Bohr magnetons follow the coordinates.
Element x y z (fractional)
Sm (0.635, 0.270, 0.483)  0.04
Sm (0.635, 0.270, 0.017)  0.04
Sn (0.837, 0.675, 0.750)  0.00
Sn (0.163, 0.325, 0.250)  0.00
Sm (0.365, 0.730, 0.517)  0.04
Y (0.924, 0.849, 0.250)  0.08
Sm (0.365, 0.730, 0.983)  0.04
Y (0.076, 0.151, 0.750)  0.08

Calculated density   6.85 g/cm3
Formation energy   -0.298 eV/atom
SG   Cmcm (63)
N(E_F)   5.25 states/eV/f.u.



# 2
This record from the Alexandria database describes a relaxed structure of Sm3YSn3. The functional is GGA-PBE.

abc: 6.204 9.531 9.531
angles: 120.00 90.00 90.00
Element x y z (fractional)
Sm (0.750, 0.976, 0.304)
Sn (0.750, 0.651, 0.995)
Sm (0.250, 0.024, 0.696)
Sn (0.750, 0.005, 0.656)
Sn (0.250, 0.656, 0.651)
Sn (0.750, 0.344, 0.349)
Sm (0.750, 0.328, 0.024)
Y (0.250, 0.667, 0.333)
Y (0.750, 0.333, 0.667)
Sm (0.750, 0.696, 0.672)
Sn (0.250, 0.349, 0.005)
Sm (0.250, 0.304, 0.328)
Sm (0.250, 0.672, 0.976)
Sn (0.250, 0.995, 0.344)

Calculated density   6.10 g/cm3
Formation energy   -0.439 eV/atom
SG   P6_3/m (176)
N(E_F)   1.88 states/eV/f.u.



# 3
This record from the Alexandria database describes a relaxed structure of SmY2Sn. The functional is GGA-PBE.

abc: 3.613 3.613 11.070
angles: 80.60 80.60 59.99
Element x y z (fractional)
Y (0.256, 0.256, 0.231)
Sm (0.500, 0.500, 0.500)
Y (0.077, 0.077, 0.769)
Sn (0.667, 0.667, 0.000)

Calculated density   6.04 g/cm3
Formation energy   -0.236 eV/atom
SG   R3m (160)
N(E_F)   3.59 states/eV/f.u.